# 1
Density functional theory data (PBE) for crystalline ThGa3IrRh at its relaxed geometry.

CIF file:
```
data_ThGa3IrRh
_space_group_name_H-M_alt 'P 1'
_space_group_IT_number 1
_space_group_name_Hall 'P 1'
_cell_length_a 6.7341
_cell_length_b 6.7341
_cell_length_c 5.6051
_cell_angle_alpha 90.00
_cell_angle_beta 90.00
_cell_angle_gamma 107.66
loop_
_atom_site_label
_atom_site_fract_x
_atom_site_fract_y
_atom_site_fract_z
Th1 0.1989 0.8011 0.7500
Th2 0.8011 0.1989 0.2500
Ga1 0.2434 0.2434 0.0000
Ga2 0.2434 0.2434 0.5000
Ga3 0.3293 0.6707 0.2500
Ga4 0.6707 0.3293 0.7500
Ga5 0.7566 0.7566 0.0000
Ga6 0.7566 0.7566 0.5000
Ir1 0.0957 0.9043 0.2500
Ir2 0.9043 0.0957 0.7500
Rh1 0.4367 0.5633 0.7500
Rh2 0.5633 0.4367 0.2500
```

DFT total energy = -35.59 eV per formula unit
formation enthalpy at 0 K = -0.48 eV per atom



# 2
Density functional theory data (PBE) for crystalline ThGa5Ir2Rh at its relaxed geometry.

CIF file:
```
data_ThGa5Ir2Rh
_space_group_name_H-M_alt 'P 1'
_space_group_IT_number 1
_space_group_name_Hall 'P 1'
_cell_length_a 4.7904
_cell_length_b 4.7904
_cell_length_c 7.6201
_cell_angle_alpha 90.00
_cell_angle_beta 90.00
_cell_angle_gamma 90.00
loop_
_atom_site_label
_atom_site_fract_x
_atom_site_fract_y
_atom_site_fract_z
Th1 0.0000 0.0000 0.0000
Ga1 0.0000 0.5000 0.3236
Ga2 0.0000 0.5000 0.6764
Ga3 0.5000 0.0000 0.3236
Ga4 0.5000 0.0000 0.6764
Ga5 0.5000 0.5000 0.0000
Ir1 0.5000 0.5000 0.3000
Ir2 0.5000 0.5000 0.7000
Rh1 0.0000 0.0000 0.5000
```

DFT total energy = -49.42 eV per formula unit
formation enthalpy at 0 K = -0.20 eV per atom



# 3
Density functional theory data (PBE) for crystalline ThGa2IrRh2 at its relaxed geometry.

CIF file:
```
data_ThGa2IrRh2
_space_group_name_H-M_alt 'P 1'
_space_group_IT_number 1
_space_group_name_Hall 'P 1'
_cell_length_a 4.6726
_cell_length_b 4.6726
_cell_length_c 5.4910
_cell_angle_alpha 90.00
_cell_angle_beta 90.00
_cell_angle_gamma 90.00
loop_
_atom_site_label
_atom_site_fract_x
_atom_site_fract_y
_atom_site_fract_z
Th1 0.0000 0.0000 0.0000
Ga1 0.0000 0.5000 0.5000
Ga2 0.5000 0.0000 0.5000
Ir1 0.0000 0.0000 0.5000
Rh1 0.5000 0.5000 0.2438
Rh2 0.5000 0.5000 0.7562
```

DFT total energy = -38.88 eV per formula unit
formation enthalpy at 0 K = -0.31 eV per atom



# 4
Density functional theory data (PBE) for crystalline ThGa2Ir2Rh at its relaxed geometry.

CIF file:
```
data_ThGa2Ir2Rh
_space_group_name_H-M_alt 'P 1'
_space_group_IT_number 1
_space_group_name_Hall 'P 1'
_cell_length_a 4.6280
_cell_length_b 4.6280
_cell_length_c 5.4466
_cell_angle_alpha 90.00
_cell_angle_beta 90.00
_cell_angle_gamma 90.00
loop_
_atom_site_label
_atom_site_fract_x
_atom_site_fract_y
_atom_site_fract_z
Th1 0.0000 0.0000 0.0000
Ga1 0.0000 0.5000 0.5000
Ga2 0.5000 0.0000 0.5000
Ir1 0.5000 0.5000 0.2362
Ir2 0.5000 0.5000 0.7638
Rh1 0.0000 0.0000 0.5000
```

DFT total energy = -40.10 eV per formula unit
formation enthalpy at 0 K = -0.26 eV per atom



# 5
Density functional theory data (PBE) for crystalline ThGa4Ir2Rh at its relaxed geometry.

CIF file:
```
data_ThGa4Ir2Rh
_space_group_name_H-M_alt 'P 1'
_space_group_IT_number 1
_space_group_name_Hall 'P 1'
_cell_length_a 9.0238
_cell_length_b 9.0238
_cell_length_c 9.0238
_cell_angle_alpha 27.45
_cell_angle_beta 27.45
_cell_angle_gamma 27.45
loop_
_atom_site_label
_atom_site_fract_x
_atom_site_fract_y
_atom_site_fract_z
Th1 0.0000 0.0000 0.0000
Ga1 0.1320 0.1320 0.1320
Ga2 0.4013 0.4013 0.4013
Ga3 0.5987 0.5987 0.5987
Ga4 0.8680 0.8680 0.8680
Ir1 0.2358 0.2358 0.2358
Ir2 0.7642 0.7642 0.7642
Rh1 0.5000 0.5000 0.5000
```

DFT total energy = -49.40 eV per formula unit
formation enthalpy at 0 K = -0.60 eV per atom



# 6
Density functional theory data (PBE) for crystalline Tl2GaIrRh at its relaxed geometry.

CIF file:
```
data_Tl2GaIrRh
_space_group_name_H-M_alt 'P 1'
_space_group_IT_number 1
_space_group_name_Hall 'P 1'
_cell_length_a 5.2743
_cell_length_b 5.2743
_cell_length_c 4.8374
_cell_angle_alpha 90.00
_cell_angle_beta 90.00
_cell_angle_gamma 90.00
loop_
_atom_site_label
_atom_site_fract_x
_atom_site_fract_y
_atom_site_fract_z
Tl1 0.0000 0.5000 0.0000
Tl2 0.5000 0.0000 0.0000
Ga1 0.0000 0.0000 0.5000
Ir1 0.5000 0.5000 0.0000
Rh1 0.5000 0.5000 0.5000
```

DFT total energy = -20.59 eV per formula unit
formation enthalpy at 0 K = 0.68 eV per atom